--- 1 ---
Below is TaCo2Ir at its PBEsol-relaxed geometry, with properties calculated at the SCAN level.

Cell and atoms, written as POSCAR:
```
TaCo2Ir
1.0
2.6866 0.0000 0.0000
0.0000 3.5905 0.0000
0.0000 0.0000 5.3027
Ta Co Ir
1 2 1
direct
0.0000 0.0000 0.0000
0.5000 0.5000 0.2661
0.5000 0.5000 0.7339
0.0000 0.0000 0.5000
```

**D(E_F)**: 3.7 states/eV per cell
**Spin magnetization**: 0.5964 μB/atom

***

--- 2 ---
Below is TaCo2Ir at its PBEsol-relaxed geometry, with properties calculated at the SCAN level.

Cell and atoms, written as POSCAR:
```
TaCo2Ir
1.0
3.7243 0.0000 0.0000
0.0000 3.7243 0.0000
0.0000 0.0000 3.6549
Ta Co Ir
1 2 1
direct
0.0000 0.0000 0.0000
0.0000 0.5000 0.5000
0.5000 0.0000 0.5000
0.5000 0.5000 0.0000
```

**D(E_F)**: 2.6 states/eV per cell
**Spin magnetization**: 0.3737 μB/atom

***

--- 3 ---
Below is TaCo2Ir at its PBEsol-relaxed geometry, with properties calculated at the SCAN level.

Cell and atoms, written as POSCAR:
```
TaCo2Ir
1.0
3.1081 0.0000 0.0000
0.0000 3.1081 0.0000
0.0000 0.0000 5.4246
Ta Co Ir
1 2 1
direct
0.0000 0.0000 0.0000
0.0000 0.0000 0.4475
0.5000 0.5000 0.2497
0.5000 0.5000 0.7154
```

**D(E_F)**: 3.2 states/eV per cell
**Spin magnetization**: 0.5335 μB/atom

***

--- 4 ---
Below is TaCo2Ir at its PBEsol-relaxed geometry, with properties calculated at the SCAN level.

Cell and atoms, written as POSCAR:
```
TaCo2Ir
1.0
-1.8513 1.8513 3.7696
1.8513 -1.8513 3.7696
1.8513 1.8513 -3.7696
Ta Co Ir
1 2 1
direct
0.0000 0.0000 0.0000
0.5000 0.5000 0.0000
0.7500 0.2500 0.5000
0.2500 0.7500 0.5000
```

**D(E_F)**: 3.1 states/eV per cell
**Spin magnetization**: 0.6214 μB/atom

***

Here are the energies relative to the best structure, in meV/atom: 1 270; 2 0; 3 184; 4 49.

***

--- 1 ---
Below is TlCoIr2 at its PBEsol-relaxed geometry, with properties calculated at the SCAN level.

Cell and atoms, written as POSCAR:
```
TlCoIr2
1.0
0.0000 3.1169 3.1169
3.1169 0.0000 3.1169
3.1169 3.1169 0.0000
Tl Co Ir
1 1 2
direct
0.0000 0.0000 0.0000
0.7500 0.7500 0.7500
0.2500 0.2500 0.2500
0.5000 0.5000 0.5000
```

**D(E_F)**: 3.2 states/eV per cell
**Spin magnetization**: 0.7476 μB/atom

***

--- 2 ---
Below is TlCoIr2 at its PBEsol-relaxed geometry, with properties calculated at the SCAN level.

Cell and atoms, written as POSCAR:
```
TlCoIr2
1.0
2.7926 0.0000 0.0000
0.0000 4.5516 0.0000
-0.1065 0.0000 4.7824
Tl Co Ir
1 1 2
direct
0.0000 0.0000 0.0000
0.5000 0.0000 0.5000
0.2662 0.5000 0.7289
0.7338 0.5000 0.2711
```

**D(E_F)**: 2.4 states/eV per cell
**Spin magnetization**: 0.5301 μB/atom

***

Here are the energies relative to the best structure, in meV/atom: 1 109; 2 0.

***

--- 1 ---
Below is TlCo2Ir at its PBEsol-relaxed geometry, with properties calculated at the SCAN level.

Cell and atoms, written as POSCAR:
```
TlCo2Ir
1.0
2.7883 0.0000 0.0000
0.0000 2.7883 0.0000
0.0000 0.0000 7.1334
Tl Co Ir
1 2 1
direct
0.0000 0.0000 0.0000
0.5000 0.5000 0.2759
0.5000 0.5000 0.7241
0.0000 0.0000 0.5000
```

**D(E_F)**: 4.9 states/eV per cell
**Spin magnetization**: 0.9641 μB/atom

***

--- 2 ---
Below is TlCo2Ir at its PBEsol-relaxed geometry, with properties calculated at the SCAN level.

Cell and atoms, written as POSCAR:
```
TlCo2Ir
1.0
4.2724 -1.4196 0.0000
4.2724 1.4196 0.0000
-0.9384 0.0000 4.7874
Tl Co Ir
1 2 1
direct
0.0000 0.0000 0.0000
0.2404 0.2404 0.6973
0.7596 0.7596 0.3027
0.5000 0.5000 0.5000
```

**D(E_F)**: 3.7 states/eV per cell
**Spin magnetization**: 0.9699 μB/atom

***

Here are the energies relative to the best structure, in meV/atom: 1 0; 2 25.

***

--- 1 ---
Below is CoIrW2 at its PBEsol-relaxed geometry, with properties calculated at the SCAN level.

Cell and atoms, written as POSCAR:
```
CoIrW2
1.0
2.7120 0.0000 0.0000
0.0000 3.7991 0.0000
0.0000 0.0000 5.3749
Co Ir W
1 1 2
direct
0.0000 0.0000 0.0000
0.0000 0.0000 0.5000
0.5000 0.5000 0.2419
0.5000 0.5000 0.7581
```

**D(E_F)**: 1.8 states/eV per cell
**Spin magnetization**: 0.0000 μB/atom

***

--- 2 ---
Below is CoIrW2 at its PBEsol-relaxed geometry, with properties calculated at the SCAN level.

Cell and atoms, written as POSCAR:
```
CoIrW2
1.0
0.0000 3.0387 3.0387
3.0387 0.0000 3.0387
3.0387 3.0387 0.0000
Co Ir W
1 1 2
direct
0.0000 0.0000 0.0000
0.7500 0.7500 0.7500
0.2500 0.2500 0.2500
0.5000 0.5000 0.5000
```

**D(E_F)**: 4.4 states/eV per cell
**Spin magnetization**: 0.0012 μB/atom

***

Here are the energies relative to the best structure, in meV/atom: 1 0; 2 287.